[1]
{"formula": "K3LiH6Au2", "functional": "GGA-PBE", "state": "optimized geometry", "lattice": [[5.950, 0.000, 0.000], [-2.975, 5.153, 0.000], [0.000, 0.000, 6.938]], "species": ["H", "H", "H", "H", "H", "H", "Au", "Au", "K", "K", "K", "Li"], "frac_coords": [[0.328, 0.164, 0.710], [0.164, 0.328, 0.290], [0.672, 0.836, 0.290], [0.164, 0.836, 0.290], [0.836, 0.672, 0.710], [0.836, 0.164, 0.710], [0.667, 0.333, 0.724], [0.333, 0.667, 0.276], [0.000, 0.000, 0.000], [0.333, 0.667, 0.727], [0.667, 0.333, 0.273], [0.000, 0.000, 0.500]], "dft_energy_ev_per_atom": -2.8548}

[2]
{"formula": "KLiH6Au2", "functional": "GGA-PBE", "state": "optimized geometry", "lattice": [[-5.569, -2.347, 3.203], [0.983, -6.099, -2.935], [3.832, -0.235, 4.234]], "species": ["H", "H", "H", "H", "H", "H", "H", "H", "H", "H", "H", "H", "Li", "Li", "K", "K", "Au", "Au", "Au", "Au"], "frac_coords": [[0.737, 0.731, 0.828], [0.587, 0.317, 0.969], [0.943, 0.248, 0.282], [0.269, 0.263, 0.672], [0.752, 0.057, 0.218], [0.317, 0.587, 0.469], [0.248, 0.943, 0.782], [0.683, 0.413, 0.531], [0.413, 0.683, 0.031], [0.057, 0.752, 0.718], [0.263, 0.269, 0.172], [0.731, 0.737, 0.328], [0.515, 0.485, 0.250], [0.485, 0.515, 0.750], [0.130, 0.870, 0.250], [0.870, 0.130, 0.750], [0.864, 0.597, 0.624], [0.403, 0.136, 0.876], [0.597, 0.864, 0.124], [0.136, 0.403, 0.376]], "dft_energy_ev_per_atom": -3.0836}

[3]
{"formula": "K2MnH6Au", "functional": "GGA-PBE", "state": "optimized geometry", "lattice": [[-4.184, -3.230, -0.332], [1.328, -1.206, -4.982], [1.159, -5.729, -1.119]], "species": ["K", "K", "Au", "H", "H", "H", "H", "H", "H", "Mn"], "frac_coords": [[0.750, 0.250, 0.500], [0.250, 0.750, 0.500], [0.500, 0.500, 0.000], [0.254, 0.255, 0.000], [0.187, 0.187, 0.627], [0.746, 0.745, 0.000], [0.746, 0.254, 0.000], [0.254, 0.746, 0.000], [0.813, 0.813, 0.373], [0.000, 0.000, 0.000]], "dft_energy_ev_per_atom": -3.5329}

[4]
{"formula": "K6Na2HAu", "functional": "GGA-PBE", "state": "optimized geometry", "lattice": [[8.744, -0.003, -0.004], [-0.003, 8.744, -0.004], [-4.375, -4.375, 6.186]], "species": ["K", "K", "K", "K", "K", "K", "Na", "Na", "H", "Au"], "frac_coords": [[0.763, 0.237, 0.000], [0.237, 0.763, 0.000], [0.237, 0.237, 0.473], [0.763, 0.763, 0.000], [0.237, 0.237, 0.000], [0.763, 0.763, 0.525], [0.250, 0.751, 0.500], [0.751, 0.250, 0.500], [0.000, 0.001, 0.000], [0.500, 0.500, 0.999]], "dft_energy_ev_per_atom": -1.6391}

What did the second record say?
{"formula": "KLiH6Au2", "functional": "GGA-PBE", "state": "optimized geometry", "lattice": [[-5.569, -2.347, 3.203], [0.983, -6.099, -2.935], [3.832, -0.235, 4.234]], "species": ["H", "H", "H", "H", "H", "H", "H", "H", "H", "H", "H", "H", "Li", "Li", "K", "K", "Au", "Au", "Au", "Au"], "frac_coords": [[0.737, 0.731, 0.828], [0.587, 0.317, 0.969], [0.943, 0.248, 0.282], [0.269, 0.263, 0.672], [0.752, 0.057, 0.218], [0.317, 0.587, 0.469], [0.248, 0.943, 0.782], [0.683, 0.413, 0.531], [0.413, 0.683, 0.031], [0.057, 0.752, 0.718], [0.263, 0.269, 0.172], [0.731, 0.737, 0.328], [0.515, 0.485, 0.250], [0.485, 0.515, 0.750], [0.130, 0.870, 0.250], [0.870, 0.130, 0.750], [0.864, 0.597, 0.624], [0.403, 0.136, 0.876], [0.597, 0.864, 0.124], [0.136, 0.403, 0.376]], "dft_energy_ev_per_atom": -3.0836}

Copy entry 2 word for word.
{"formula": "KLiH6Au2", "functional": "GGA-PBE", "state": "optimized geometry", "lattice": [[-5.569, -2.347, 3.203], [0.983, -6.099, -2.935], [3.832, -0.235, 4.234]], "species": ["H", "H", "H", "H", "H", "H", "H", "H", "H", "H", "H", "H", "Li", "Li", "K", "K", "Au", "Au", "Au", "Au"], "frac_coords": [[0.737, 0.731, 0.828], [0.587, 0.317, 0.969], [0.943, 0.248, 0.282], [0.269, 0.263, 0.672], [0.752, 0.057, 0.218], [0.317, 0.587, 0.469], [0.248, 0.943, 0.782], [0.683, 0.413, 0.531], [0.413, 0.683, 0.031], [0.057, 0.752, 0.718], [0.263, 0.269, 0.172], [0.731, 0.737, 0.328], [0.515, 0.485, 0.250], [0.485, 0.515, 0.750], [0.130, 0.870, 0.250], [0.870, 0.130, 0.750], [0.864, 0.597, 0.624], [0.403, 0.136, 0.876], [0.597, 0.864, 0.124], [0.136, 0.403, 0.376]], "dft_energy_ev_per_atom": -3.0836}